Entry 1:
Material: TbGd2Ga3NiGe2
Method: DFT, PBE-GGA
State: relaxed

Cell: 4.1680 7.0111 7.0111 Å, 119.98 90.00 90.00°
Atoms (fractional coordinates):
Tb: 0.0000 0.3993 0.3993
Ge: 0.5000 0.3334 0.6664
Ni: 0.0000 0.0002 0.0002
Ga: 0.5000 0.2289 0.0002
Ga: 0.5000 0.7711 0.7711
Gd: 0.0000 0.6005 0.0000
Ga: 0.5000 0.0002 0.2289
Ge: 0.5000 0.6664 0.3334
Gd: 0.0000 0.0000 0.6005

## Properties
V, Å³/f.u.: 177.5
Total DFT energy (no corrections), eV per formula unit: -44.352

***

Entry 2:
Material: LaHoHf
Method: DFT, PBE-GGA
State: relaxed

Cell: 5.2346 5.2346 5.2346 Å, 60.00 60.00 60.00°
Atoms (fractional coordinates):
Hf: 0.0000 0.0000 0.0000
La: 0.7500 0.7500 0.7500
Ho: 0.2500 0.2500 0.2500

## Properties
V, Å³/f.u.: 101.4
Energy of formation, eV per atom: 0.81

***

Entry 3:
Material: YHo3B2Pb2
Method: DFT, PBE-GGA
State: relaxed

Cell: 3.6829 3.6829 16.6563 Å, 90.00 90.00 120.00°
Atoms (fractional coordinates):
Ho: 0.6667 0.3333 0.4112
B: 0.3333 0.6667 0.5000
B: 0.3333 0.6667 0.0009
Pb: 0.0000 0.0000 0.2503
Ho: 0.0000 0.0000 0.5887
Y: 0.0000 0.0000 0.9100
Ho: 0.6667 0.3333 0.0897
Pb: 0.6667 0.3333 0.7492

## Properties
V, Å³/f.u.: 195.7
Total DFT energy (no corrections), eV per formula unit: -42.687

***

Entry 4:
Material: GdCuAsP
Method: DFT, PBE-GGA
State: relaxed

Cell: 3.8299 3.8299 9.8244 Å, 90.00 90.00 90.00°
Atoms (fractional coordinates):
Gd: 0.5000 0.0000 0.2428
As: 0.5000 0.5000 0.0000
Gd: 0.0000 0.5000 0.7572
Cu: 0.5000 0.5000 0.5000
P: 0.0000 0.5000 0.3491
Cu: 0.0000 0.0000 0.5000
As: 0.0000 0.0000 0.0000
P: 0.5000 0.0000 0.6509

## Properties
V, Å³/f.u.: 72.1
Total DFT energy (no corrections), eV per formula unit: -22.009

***

Entry 5:
Material: LaThBi
Method: DFT, PBE-GGA
State: relaxed

Cell: 5.3791 5.3791 5.3791 Å, 60.00 60.00 60.00°
Atoms (fractional coordinates):
Th: 0.7500 0.7500 0.7500
Bi: 0.0000 0.0000 0.0000
La: 0.2500 0.2500 0.2500

## Properties
V, Å³/f.u.: 110.1
Total DFT energy (no corrections), eV per formula unit: -16.919

***

Entry 6:
Material: ScZn2Cu
Method: DFT, PBE-GGA
State: relaxed

Cell: 4.4003 4.4003 4.4003 Å, 60.00 60.00 60.00°
Atoms (fractional coordinates):
Zn: 0.0000 0.0000 0.0000
Sc: 0.7500 0.7500 0.7500
Cu: 0.2500 0.2500 0.2500
Zn: 0.5000 0.5000 0.5000

## Properties
V, Å³/f.u.: 60.2
Energy of formation, eV per atom: -0.26

***

Q: The lowest V belongs to which entry?
A: ScZn2Cu

***

Q: What is the V in the first record?
A: 177.5 Å³/f.u.